## CeLu2Ga (PBE)

Data for a geometry-optimized CeLu2Ga structure.

Summary:
Formation energy from the elements in eV/atom: -0.255
Crystal system: tetragonal

a = 3.417 Å, b = 3.417 Å, c = 8.797 Å
α = 90.00°, β = 90.00°, γ = 90.00°
Space group P4/mmm (No. 123)
Asymmetric unit:
Ce1 0.000 0.000 0.000 x1
Lu1 0.500 0.500 0.290 x2
Ga1 0.000 0.000 0.500 x1